Material: AgP2Os
Method: DFT, GGA-PBEsol
State: optimized geometry

Values from the calculation:
calculated volume: 59.5 Å³ per cell
calculated formation energy: 0.171 eV per atom
excess energy over the best structure of this formula in the dataset: 25 meV/atom

a = 4.080 Å, b = 4.080 Å, c = 5.313 Å
α = 98.92°, β = 98.92°, γ = 43.03°
Atoms (fractional coordinates):
Ag (0.000, 0.000, 0.000)
P (0.230, 0.230, 0.707)
P (0.770, 0.770, 0.293)
Os (0.500, 0.500, 0.500)